Material: MnInIr2
Method: DFT, PBE
State: relaxed

```
4
Lattice="4.2180 0.0000 0.0000 0.0000 2.8496 0.3095 0.0000 0.9020 5.3961" Properties=species:S:1:pos:R:3 pbc="T T T"
Ir 0.0000 0.2969 0.1357
Ir 0.0000 1.5789 2.7171
Mn 2.1090 0.9379 1.4264
In 2.1090 2.8137 4.2792
```

symmetry = P2/m, No. 10

***

Material: MnInIr2
Method: DFT, PBE
State: relaxed

```
4
Lattice="8.6890 -0.0411 -0.0242 8.2073 2.8533 -0.0242 8.2073 1.3660 2.5052" Properties=species:S:1:pos:R:3 pbc="T T T"
Mn 6.2759 1.0445 0.6142
Ir 12.7222 2.1174 1.2451
Ir 24.9333 4.1498 2.4401
In 18.8277 3.1336 1.8426
```

symmetry = R-3m, No. 166

***

Material: MnInIr2
Method: DFT, PBE
State: relaxed

```
4
Lattice="2.8688 0.0055 0.0000 -0.0059 2.8688 0.0000 0.0000 0.0000 7.7260" Properties=species:S:1:pos:R:3 pbc="T T T"
In 1.4315 1.4372 5.8172
Ir 0.0000 0.0000 0.1280
Mn 0.0000 0.0000 3.6672
Ir 1.4315 1.4372 1.9767
```

symmetry = P4mm, No. 99

***

Material: Mn3InIr
Method: DFT, PBE
State: relaxed

```
5
Lattice="4.5150 0.0000 0.0000 0.0000 4.5150 0.0000 0.0000 0.0000 4.5150" Properties=species:S:1:pos:R:3 pbc="T T T"
Mn 0.0000 2.2575 0.0000
Mn 2.2575 0.0000 0.0000
Mn 0.0000 0.0000 2.2575
Ir 0.0000 0.0000 0.0000
In 2.2575 2.2575 2.2575
```

symmetry = Pm-3m, No. 221

***

Material: MnInIr2
Method: DFT, PBE
State: relaxed

```
4
Lattice="5.3223 -0.1272 -0.0347 2.4974 4.7017 0.0347 -3.2515 -3.4125 2.4751" Properties=species:S:1:pos:R:3 pbc="T T T"
Mn 2.9903 -0.6262 1.2202
Ir 4.0395 2.3631 0.0000
In 1.5778 1.7882 1.2549
Ir 7.6900 4.4987 0.0000
```

symmetry = Immm, No. 71

***

Material: MnInIr3
Method: DFT, PBE
State: relaxed

```
5
Lattice="4.8088 0.0000 0.0000 0.0000 4.8088 0.0000 0.0000 0.0000 4.8088" Properties=species:S:1:pos:R:3 pbc="T T T"
In 0.0000 0.0000 0.0000
Ir 0.0000 2.4044 0.0000
Mn 2.4044 2.4044 2.4044
Ir 0.0000 0.0000 2.4044
Ir 2.4044 0.0000 0.0000
```

symmetry = Pm-3m, No. 221
polymorph energy (0 for the lowest one) = 1.4904 eV per atom

***

| no. | DFT formation energy (meV/atom) |
| --- | --- |
| 1 | 61 |
| 2 | 72 |
| 3 | 114 |
| 4 | 1382 |
| 5 | 76 |
| 6 | 2566 |